Record 1
First-principles (PBE-GGA) data for BaNa2Hg2Pd after structural relaxation, as listed in the Alexandria database.

Calculated values
**V**: 407 Å³/cell
**Space group**: I4/mmm, No. 139
**DFT formation energy**: -0.47 eV per formula unit

Cell lengths 5.676, 5.676, 12.623 Å; angles 90.00, 90.00, 90.00 degrees
Fractional positions:
Ba  0.000  0.000  0.000
Ba  0.500  0.500  0.500
Na  0.000  0.500  0.250
Na  0.000  0.500  0.750
Na  0.500  0.000  0.250
Na  0.500  0.000  0.750
Hg  0.000  0.000  0.290
Hg  0.000  0.000  0.710
Hg  0.500  0.500  0.210
Hg  0.500  0.500  0.790
Pd  0.000  0.000  0.500
Pd  0.500  0.500  0.000

=====

Record 2
First-principles (PBE-GGA) data for BaNaHg2Pd after structural relaxation, as listed in the Alexandria database.

Calculated values
**V**: 172 Å³/cell
**Space group**: P4/mmm, No. 123
**DFT formation energy**: -1.13 eV per formula unit
**Energy relative to the lowest polymorph listed for this composition**: 180 meV/atom

Cell lengths 5.465, 5.465, 5.775 Å; angles 90.00, 90.00, 90.00 degrees
Fractional positions:
Ba  0.000  0.000  0.000
Na  0.500  0.500  0.000
Hg  0.000  0.500  0.500
Hg  0.500  0.000  0.500
Pd  0.000  0.000  0.500

=====

Record 3
First-principles (PBE-GGA) data for Ba2NaPm2Hg5 after structural relaxation, as listed in the Alexandria database.

Calculated values
**V**: 633 Å³/cell
**Space group**: P4/mbm, No. 127
**DFT formation energy**: -3.19 eV per formula unit

Cell lengths 12.333, 12.333, 4.163 Å; angles 90.00, 90.00, 90.00 degrees
Fractional positions:
Ba  0.170  0.330  0.000
Ba  0.330  0.830  0.000
Ba  0.670  0.170  0.000
Ba  0.830  0.670  0.000
Na  0.000  0.000  0.000
Na  0.500  0.500  0.000
Pm  0.131  0.631  0.000
Pm  0.369  0.131  0.000
Pm  0.631  0.869  0.000
Pm  0.869  0.369  0.000
Hg  0.000  0.500  0.500
Hg  0.070  0.817  0.500
Hg  0.183  0.070  0.500
Hg  0.317  0.570  0.500
Hg  0.430  0.317  0.500
Hg  0.500  0.000  0.500
Hg  0.570  0.683  0.500
Hg  0.683  0.430  0.500
Hg  0.817  0.930  0.500
Hg  0.930  0.183  0.500